Entry from the Alexandria database: crystalline LaW2Cl at its relaxed geometry (PBE).

## Properties
Formation energy from raw total energies   95.1 kJ per mole of atoms
VASP energy   -7.185 eV/atom
Energy above the lowest structure with this stoichiometry   1.023 eV/atom

abc: 10.264 10.264 10.264
angles: 16.61 16.61 16.61
Last column: magnetic moment on the atom in μB.
Element x y z (fractional)
W1 0.514 0.514 0.514  0.01
W2 0.986 0.986 0.986  0.01
La1 0.750 0.750 0.750  0.31
Cl1 0.250 0.250 0.250  0.00



Entry from the Alexandria database: crystalline AcLuAlPd at its relaxed geometry (PBE).

## Properties
ΔE_f   -0.4319 eV/atom
VASP energy   -4.823 eV/atom

abc: 5.251 5.251 5.251
angles: 60.00 60.00 60.00
Element x y z (fractional)
Pd1 0.000 0.000 0.000
Al1 0.500 0.500 0.500
Ac1 0.250 0.250 0.250
Lu1 0.750 0.750 0.750



Entry from the Alexandria database: crystalline Nb2FeWC at its relaxed geometry (PBE).

## Properties
ΔE_f   2.6095 eV/atom
VASP energy   -7.546 eV/atom

abc: 4.875 4.875 4.373
angles: 90.00 90.00 90.00
Last column: magnetic moment on the atom in μB.
Element x y z (fractional)
Fe1 0.000 0.000 0.500  1.69
Nb1 0.000 0.500 0.000  -0.02
Nb2 0.500 0.000 0.000  -0.02
C1 0.500 0.500 0.500  0.02
W1 0.000 0.000 0.000  -0.14



Entry from the Alexandria database: crystalline HfBiPS2 at its relaxed geometry (PBE).

## Properties
Formation energy from raw total energies   83.9 kJ per mole of atoms
VASP energy   -4.630 eV/atom
Energy above the lowest structure with this stoichiometry   1.172 eV/atom

abc: 5.050 5.050 5.138
angles: 90.00 90.00 90.00
Last column: magnetic moment on the atom in μB.
Element x y z (fractional)
S1 0.500 0.000 0.000  -0.03
S2 0.000 0.500 0.000  -0.03
P1 0.000 0.000 0.500  -0.04
Hf1 0.500 0.500 0.500  0.37
Bi1 0.000 0.000 0.000  0.00